Entry 1:
# LiLa2Co

LiLa2Co after structural relaxation (PBE, Alexandria).

Values from the calculation:
ΔH_f (0 K) in kJ/mol of atoms: 7.27
Volume in Å³ per cell: 101.5
E in Ry per atom: -0.34128
SG: Imm2, No. 44

```
LiLa2Co
1.0
6.9400 0.0315 -0.0505
6.0820 3.3428 -0.0505
1.6285 0.4220 4.3990
Li La Co
1 2 1
direct
0.4245 0.4245 0.5754
0.2610 0.2610 0.2390
0.0674 0.0674 0.9326
0.7471 0.7471 0.7531
```


Entry 2:
# ErTm6Sc

ErTm6Sc after structural relaxation (PBE, Alexandria).

Values from the calculation:
ΔH_f (0 K) in kJ/mol of atoms: 20.46
Volume in Å³ per cell: 238.4
E in Ry per atom: -0.33099
SG: C2/m, No. 12

```
ErTm6Sc
1.0
6.3286 -0.7776 -1.3323
-3.0763 5.5850 -1.3323
-1.7953 -2.6536 8.7067
Tm Sc Er
6 1 1
direct
0.3296 0.7830 0.7541
0.7806 0.7806 0.2482
0.6704 0.2170 0.2459
0.2170 0.6704 0.2459
0.2194 0.2194 0.7518
0.7830 0.3296 0.7541
0.0000 0.0000 0.0000
0.5000 0.5000 0.5000
```


Entry 3:
# Pu2TiC

Pu2TiC after structural relaxation (PBE, Alexandria).

Values from the calculation:
ΔH_f (0 K) in kJ/mol of atoms: 81.34
Volume in Å³ per cell: 69.7
E in Ry per atom: -0.77928
SG: R-3m, No. 166

```
Pu2TiC
1.0
4.9337 0.0000 0.0000
2.4669 4.2727 0.0000
2.4669 1.4242 3.3083
Pu C Ti
2 1 1
direct
0.2321 0.2321 0.3037
0.7679 0.7679 0.6963
0.0000 0.0000 0.0000
0.5000 0.5000 0.5000
```


Entry 4:
# MgSb2Pb

MgSb2Pb after structural relaxation (PBE, Alexandria).

Values from the calculation:
Volume in Å³ per cell: 299.7
Raw formation energy in kJ/mol of atoms: -3.3
E in Ry per atom: -0.25143
Polymorph energy (0 for the lowest one) in meV per atom: 25.0
SG: I-42d, No. 122

```
MgSb2Pb
1.0
6.6803 0.0000 0.0000
0.0000 6.6803 0.0000
3.3402 3.3402 6.7149
Sb Mg Pb
4 2 2
direct
0.3750 0.3889 0.7500
0.6111 0.1250 0.2500
0.8750 0.8611 0.7500
0.1389 0.6250 0.2500
0.5000 0.5000 0.0000
0.2500 0.7500 0.5000
0.7500 0.2500 0.5000
0.0000 0.0000 0.0000
```